(1)
# K2PdF7 | the Alexandria database | PBE | optimized geometry
# Energy ... -3.82 eV/atom
# DOS at the Fermi energy ... 12.6 states/eV/f.u.
# Raw formation energy ... -17.733 eV/f.u.
data_K2PdF7
_chemical_formula_sum 'K8 Pd4 F28'
_cell_length_a 8.772
_cell_length_b 8.772
_cell_length_c 8.772
_cell_angle_alpha 90.00
_cell_angle_beta 90.00
_cell_angle_gamma 90.00
_symmetry_space_group_name_H-M 'F m -3 m'
_symmetry_Int_Tables_number 225
_symmetry_space_group_name_Hall '-F 4 2 3'
loop_
_atom_site_label
_atom_site_type_symbol
_atom_site_fract_x
_atom_site_fract_y
_atom_site_fract_z
K1 K 0.250 0.250 0.250
Pd1 Pd 0.000 0.000 0.000
F1 F 0.000 0.000 0.222
F2 F 0.000 0.000 0.500

***

(2)
# K4PdF7 | the Alexandria database | PBE | optimized geometry
# Energy ... -4.01 eV/atom
# DOS at the Fermi energy ... 22.7 states/eV/f.u.
# Raw formation energy ... -25.442 eV/f.u.
data_K4PdF7
_chemical_formula_sum 'K8 Pd2 F14'
_cell_length_a 13.846
_cell_length_b 4.111
_cell_length_c 10.480
_cell_angle_alpha 90.00
_cell_angle_beta 129.51
_cell_angle_gamma 90.00
_symmetry_space_group_name_H-M 'C 1 2/m 1'
_symmetry_Int_Tables_number 12
_symmetry_space_group_name_Hall '-C 2y'
loop_
_atom_site_label
_atom_site_type_symbol
_atom_site_fract_x
_atom_site_fract_y
_atom_site_fract_z
K1 K 0.105 0.000 0.275
K2 K 0.231 0.000 0.854
Pd1 Pd 0.000 0.500 0.500
F1 F 0.000 0.000 0.500
F2 F 0.049 0.500 0.720
F3 F 0.131 0.000 0.013
F4 F 0.242 0.000 0.617

***

(3)
# KPdF | the Alexandria database | PBE | optimized geometry
# Energy ... -3.47 eV/atom
# DOS at the Fermi energy ... 1.4 states/eV/f.u.
# Raw formation energy ... -2.262 eV/f.u.
data_KPdF
_chemical_formula_sum 'K2 Pd2 F2'
_cell_length_a 4.1563
_cell_length_b 4.1563
_cell_length_c 8.4818
_cell_angle_alpha 90.00
_cell_angle_beta 90.00
_cell_angle_gamma 120.00
_symmetry_space_group_name_H-M 'P 63/m m c'
_symmetry_Int_Tables_number 194
_symmetry_space_group_name_Hall '-P 6c 2c'
loop_
_atom_site_label
_atom_site_type_symbol
_atom_site_fract_x
_atom_site_fract_y
_atom_site_fract_z
K1 K 0.0000 0.0000 0.0000
Pd1 Pd 0.3333 0.6667 0.2500
F1 F 0.3333 0.6667 0.7500